A relaxed PmTc crystal, computed with PBE-GGA.

Results
ΔE_f = 1852.7 meV/atom
Total magnetization = 1.57 μB per formula unit
Crystal system = cubic
Density = 7.0 g cm⁻³
E = -45.6 eV/cell

Cell: 6.1434 6.1434 6.1434 Å, 90.00 90.00 90.00°
With the nearest neighbours (Å) after each atom.
Positions (direct):
Pm: 0.0000 0.0000 0.0000  4 Tc 2.66
Pm: 0.0000 0.5000 0.5000  4 Tc 2.66
Pm: 0.5000 0.0000 0.5000  4 Tc 2.66
Pm: 0.5000 0.5000 0.0000  4 Tc 2.66
Tc: 0.2500 0.2500 0.7500  4 Pm 2.66
Tc: 0.2500 0.7500 0.2500  4 Pm 2.66
Tc: 0.7500 0.2500 0.2500  4 Pm 2.66
Tc: 0.7500 0.7500 0.7500  4 Pm 2.66

***

A relaxed Pm2TcTe2 crystal, computed with PBE-GGA.

Results
Total magnetization = 0.01 μB per formula unit
Crystal system = hexagonal
Density = 7.5 g cm⁻³
E = -53.5 eV/cell

Cell: 3.7986 3.7986 22.9258 Å, 90.00 90.00 120.00°
With the nearest neighbours (Å) after each atom.
Positions (direct):
Pm: 0.3333 0.6667 0.1642  3 Tc 2.95, 3 Te 3.15
Pm: 0.3333 0.6667 0.3358  3 Tc 2.95, 3 Te 3.15
Pm: 0.6667 0.3333 0.6642  3 Tc 2.95, 3 Te 3.15
Pm: 0.6667 0.3333 0.8358  3 Tc 2.95, 3 Te 3.15
Tc: 0.0000 0.0000 0.2500  6 Pm 2.95
Tc: 0.0000 0.0000 0.7500  6 Pm 2.95
Te: 0.3333 0.6667 0.5655  3 Pm 3.15
Te: 0.3333 0.6667 0.9345  3 Pm 3.15
Te: 0.6667 0.3333 0.0655  3 Pm 3.15
Te: 0.6667 0.3333 0.4345  3 Pm 3.15

***

A relaxed PmThTc crystal, computed with PBE-GGA.

Results
ΔE_f = 845.5 meV/atom
Total magnetization = 0.01 μB per formula unit
Crystal system = cubic
Density = 9.6 g cm⁻³
E = -79.9 eV/cell

Cell: 6.8911 6.8911 6.8911 Å, 90.00 90.00 90.00°
With the nearest neighbours (Å) after each atom.
Positions (direct):
Pm: 0.0000 0.0000 0.0000  4 Th 2.98
Pm: 0.0000 0.5000 0.5000  4 Th 2.98
Pm: 0.5000 0.0000 0.5000  4 Th 2.98
Pm: 0.5000 0.5000 0.0000  4 Th 2.98
Th: 0.2500 0.2500 0.2500  4 Tc 2.98, 4 Pm 2.98
Th: 0.2500 0.7500 0.7500  4 Tc 2.98, 4 Pm 2.98
Th: 0.7500 0.2500 0.7500  4 Tc 2.98, 4 Pm 2.98
Th: 0.7500 0.7500 0.2500  4 Tc 2.98, 4 Pm 2.98
Tc: 0.0000 0.0000 0.5000  4 Th 2.98
Tc: 0.0000 0.5000 0.0000  4 Th 2.98
Tc: 0.5000 0.0000 0.0000  4 Th 2.98
Tc: 0.5000 0.5000 0.5000  4 Th 2.98

***

A relaxed PmTmTc crystal, computed with PBE-GGA.

Results
ΔE_f = 895.0 meV/atom
Total magnetization = 0.03 μB per formula unit
Crystal system = cubic
Density = 8.9 g cm⁻³
E = -67.6 eV/cell

Cell: 6.7573 6.7573 6.7573 Å, 90.00 90.00 90.00°
With the nearest neighbours (Å) after each atom.
Positions (direct):
Pm: 0.0000 0.0000 0.0000  4 Tm 2.93
Pm: 0.0000 0.5000 0.5000  4 Tm 2.93
Pm: 0.5000 0.0000 0.5000  4 Tm 2.93
Pm: 0.5000 0.5000 0.0000  4 Tm 2.93
Tm: 0.2500 0.2500 0.2500  4 Tc 2.93, 4 Pm 2.93
Tm: 0.2500 0.7500 0.7500  4 Tc 2.93, 4 Pm 2.93
Tm: 0.7500 0.2500 0.7500  4 Tc 2.93, 4 Pm 2.93
Tm: 0.7500 0.7500 0.2500  4 Tc 2.93, 4 Pm 2.93
Tc: 0.0000 0.0000 0.5000  4 Tm 2.93
Tc: 0.0000 0.5000 0.0000  4 Tm 2.93
Tc: 0.5000 0.0000 0.0000  4 Tm 2.93
Tc: 0.5000 0.5000 0.5000  4 Tm 2.93

***

A relaxed PmUTc crystal, computed with PBE-GGA.

Results
ΔE_f = 932.3 meV/atom
Total magnetization = 0.56 μB per formula unit
Crystal system = cubic
Density = 11.4 g cm⁻³
E = -94.4 eV/cell

Cell: 6.5353 6.5353 6.5353 Å, 90.00 90.00 90.00°
With the nearest neighbours (Å) after each atom.
Positions (direct):
Pm: 0.0000 0.0000 0.0000  4 U 2.83
Pm: 0.0000 0.5000 0.5000  4 U 2.83
Pm: 0.5000 0.0000 0.5000  4 U 2.83
Pm: 0.5000 0.5000 0.0000  4 U 2.83
U: 0.2500 0.2500 0.2500  4 Tc 2.83, 4 Pm 2.83
U: 0.2500 0.7500 0.7500  4 Tc 2.83, 4 Pm 2.83
U: 0.7500 0.2500 0.7500  4 Tc 2.83, 4 Pm 2.83
U: 0.7500 0.7500 0.2500  4 Tc 2.83, 4 Pm 2.83
Tc: 0.0000 0.0000 0.5000  4 U 2.83
Tc: 0.0000 0.5000 0.0000  4 U 2.83
Tc: 0.5000 0.0000 0.0000  4 U 2.83
Tc: 0.5000 0.5000 0.5000  4 U 2.83

***

A relaxed PmTcW crystal, computed with PBE-GGA.

Results
ΔE_f = 852.9 meV/atom
Total magnetization = 0.00 μB per formula unit
Crystal system = cubic
Density = 10.8 g cm⁻³
E = -102.0 eV/cell

Cell: 6.4038 6.4038 6.4038 Å, 90.00 90.00 90.00°
With the nearest neighbours (Å) after each atom.
Positions (direct):
Pm: 0.0000 0.0000 0.0000  4 W 2.77
Pm: 0.0000 0.5000 0.5000  4 W 2.77
Pm: 0.5000 0.0000 0.5000  4 W 2.77
Pm: 0.5000 0.5000 0.0000  4 W 2.77
Tc: 0.0000 0.0000 0.5000  4 W 2.77
Tc: 0.0000 0.5000 0.0000  4 W 2.77
Tc: 0.5000 0.0000 0.0000  4 W 2.77
Tc: 0.5000 0.5000 0.5000  4 W 2.77
W: 0.2500 0.2500 0.2500  4 Tc 2.77, 4 Pm 2.77
W: 0.2500 0.7500 0.7500  4 Tc 2.77, 4 Pm 2.77
W: 0.7500 0.2500 0.7500  4 Tc 2.77, 4 Pm 2.77
W: 0.7500 0.7500 0.2500  4 Tc 2.77, 4 Pm 2.77

***

> Which of these has the lowest density?

PmTc

***

Copy entry 2 word for word.
A relaxed Pm2TcTe2 crystal, computed with PBE-GGA.

Results
Total magnetization = 0.01 μB per formula unit
Crystal system = hexagonal
Density = 7.5 g cm⁻³
E = -53.5 eV/cell

Cell: 3.7986 3.7986 22.9258 Å, 90.00 90.00 120.00°
With the nearest neighbours (Å) after each atom.
Positions (direct):
Pm: 0.3333 0.6667 0.1642  3 Tc 2.95, 3 Te 3.15
Pm: 0.3333 0.6667 0.3358  3 Tc 2.95, 3 Te 3.15
Pm: 0.6667 0.3333 0.6642  3 Tc 2.95, 3 Te 3.15
Pm: 0.6667 0.3333 0.8358  3 Tc 2.95, 3 Te 3.15
Tc: 0.0000 0.0000 0.2500  6 Pm 2.95
Tc: 0.0000 0.0000 0.7500  6 Pm 2.95
Te: 0.3333 0.6667 0.5655  3 Pm 3.15
Te: 0.3333 0.6667 0.9345  3 Pm 3.15
Te: 0.6667 0.3333 0.0655  3 Pm 3.15
Te: 0.6667 0.3333 0.4345  3 Pm 3.15

***

> Look up the total magnetization of the third one.

0.01 μB per formula unit

***

> What is the total magnetization in the second record?

0.01 μB per formula unit